(1)
A plane-wave DFT calculation with GGA-PBE was carried out for a relaxed structure of K2BeOs.

Cell lengths 3.2670, 3.2012, 10.0613 Å; angles 90.00, 96.57, 90.00 degrees
Last column: nearest neighbours and their distance in Å.
Element x y z (fractional)
K (0.0000, 0.0000, 0.0000)  2 Be 3.18, 4 K 3.20-3.27, 2 Os 3.31
K (0.1917, 0.5000, 0.5599)  1 Be 2.85
Be (0.0964, 0.5000, 0.2745)  4 Os 2.29
Os (0.6011, 0.0000, 0.2882)  4 Be 2.29

Calculated values
**M_tot**: 0.45 μB per formula unit
**Calculated total energy**: -3.68 eV per atom

---

(2)
A plane-wave DFT calculation with GGA-PBE was carried out for a relaxed structure of Be2TlCo2.

Cell lengths 6.5817, 6.5817, 2.8207 Å; angles 90.00, 90.00, 90.00 degrees
Last column: nearest neighbours and their distance in Å.
Element x y z (fractional)
Be (0.1331, 0.3669, 0.0000)  6 Co 2.29-2.54, 1 Be 2.48
Be (0.3669, 0.8669, 0.0000)  6 Co 2.29-2.54, 1 Be 2.48
Be (0.6331, 0.1331, 0.0000)  6 Co 2.29-2.54, 1 Be 2.48
Be (0.8669, 0.6331, 0.0000)  6 Co 2.29-2.54, 1 Be 2.48
Tl (0.0000, 0.0000, 0.5000)  4 Co 2.54, 2 Tl 2.82
Tl (0.5000, 0.5000, 0.5000)  4 Co 2.54, 2 Tl 2.82
Co (0.1404, 0.6404, 0.5000)  6 Be 2.29-2.54, 2 Tl 2.54
Co (0.3596, 0.1404, 0.5000)  6 Be 2.29-2.54, 2 Tl 2.54
Co (0.6404, 0.8596, 0.5000)  6 Be 2.29-2.54, 2 Tl 2.54
Co (0.8596, 0.3596, 0.5000)  6 Be 2.29-2.54, 2 Tl 2.54

Calculated values
**ΔE to the lowest computed polymorph**: 101 meV per atom
**M_tot**: 0.22 μB per formula unit
**Calculated total energy**: -4.53 eV per atom

---

(3)
A plane-wave DFT calculation with GGA-PBE was carried out for a relaxed structure of Cs2RbMg.

Cell lengths 10.5957, 10.5957, 10.5957 Å; angles 90.00, 90.00, 90.00 degrees
Last column: nearest neighbours and their distance in Å.
Element x y z (fractional)
Cs (0.2500, 0.2500, 0.2500)  4 Mg 4.59, 4 Rb 4.59
Cs (0.2500, 0.2500, 0.7500)  4 Mg 4.59, 4 Rb 4.59
Cs (0.2500, 0.7500, 0.2500)  4 Mg 4.59, 4 Rb 4.59
Cs (0.2500, 0.7500, 0.7500)  4 Mg 4.59, 4 Rb 4.59
Cs (0.7500, 0.2500, 0.2500)  4 Mg 4.59, 4 Rb 4.59
Cs (0.7500, 0.2500, 0.7500)  4 Mg 4.59, 4 Rb 4.59
Cs (0.7500, 0.7500, 0.2500)  4 Mg 4.59, 4 Rb 4.59
Cs (0.7500, 0.7500, 0.7500)  4 Mg 4.59, 4 Rb 4.59
Rb (0.0000, 0.0000, 0.0000)  8 Cs 4.59
Rb (0.0000, 0.5000, 0.5000)  8 Cs 4.59
Rb (0.5000, 0.0000, 0.5000)  8 Cs 4.59
Rb (0.5000, 0.5000, 0.0000)  8 Cs 4.59
Mg (0.0000, 0.0000, 0.5000)  8 Cs 4.59
Mg (0.0000, 0.5000, 0.0000)  8 Cs 4.59
Mg (0.5000, 0.0000, 0.0000)  8 Cs 4.59
Mg (0.5000, 0.5000, 0.5000)  8 Cs 4.59

Calculated values
**ΔE to the lowest computed polymorph**: 0 meV per atom
**M_tot**: 0.00 μB per formula unit
**Calculated total energy**: -0.89 eV per atom

---

(4)
A plane-wave DFT calculation with GGA-PBE was carried out for a relaxed structure of BaOsCl3.

Cell lengths 4.9142, 4.9142, 4.9142 Å; angles 90.00, 90.00, 90.00 degrees
Last column: nearest neighbours and their distance in Å.
Element x y z (fractional)
Ba (0.0000, 0.0000, 0.0000)  12 Cl 3.47
Os (0.5000, 0.5000, 0.5000)  6 Cl 2.46
Cl (0.0000, 0.5000, 0.5000)  2 Os 2.46
Cl (0.5000, 0.0000, 0.5000)  2 Os 2.46
Cl (0.5000, 0.5000, 0.0000)  2 Os 2.46

Calculated values
**Raw formation energy**: -0.657 eV per atom
**ΔE to the lowest computed polymorph**: 0 meV per atom
**M_tot**: 0.00 μB per formula unit
**Calculated total energy**: -4.40 eV per atom

---

(5)
A plane-wave DFT calculation with GGA-PBE was carried out for a relaxed structure of PdRuPt3.

Cell lengths 4.7832, 4.7832, 4.7832 Å; angles 90.00, 90.00, 90.00 degrees
Last column: nearest neighbours and their distance in Å.
Element x y z (fractional)
Pd (0.0000, 0.0000, 0.0000)  6 Pt 2.39
Ru (0.5000, 0.5000, 0.5000)  12 Pt 3.38
Pt (0.0000, 0.0000, 0.5000)  2 Pd 2.39
Pt (0.0000, 0.5000, 0.0000)  2 Pd 2.39
Pt (0.5000, 0.0000, 0.0000)  2 Pd 2.39

Calculated values
**ΔE to the lowest computed polymorph**: 1626 meV per atom
**M_tot**: 3.55 μB per formula unit
**Calculated total energy**: -4.70 eV per atom

---

(6)
A plane-wave DFT calculation with GGA-PBE was carried out for a relaxed structure of LaBeIr2.

Cell lengths 4.1425, 4.1425, 4.4366 Å; angles 90.00, 90.00, 90.00 degrees
Last column: nearest neighbours and their distance in Å.
Element x y z (fractional)
La (0.0000, 0.0000, 0.0000)  8 Ir 3.03-3.04, 4 Be 3.26
Be (0.5000, 0.5000, 0.3246)  4 Ir 2.22
Ir (0.0000, 0.5000, 0.5025)  2 Be 2.22
Ir (0.5000, 0.0000, 0.5025)  2 Be 2.22

Calculated values
**M_tot**: 0.00 μB per formula unit
**Calculated total energy**: -7.03 eV per atom

---

(7)
A plane-wave DFT calculation with GGA-PBE was carried out for a relaxed structure of HoPaTeIr.

Cell lengths 4.0660, 4.0660, 22.4349 Å; angles 90.00, 90.00, 120.00 degrees
Last column: nearest neighbours and their distance in Å.
Element x y z (fractional)
Ho (0.0000, 0.0000, 0.0000)  3 Ir 2.87
Ho (0.3333, 0.6667, 0.6667)  3 Ir 2.87
Ho (0.6667, 0.3333, 0.3333)  3 Ir 2.87
Pa (0.0000, 0.0000, 0.8029)  3 Ir 2.74
Pa (0.3333, 0.6667, 0.4696)  3 Ir 2.74
Pa (0.6667, 0.3333, 0.1363)  3 Ir 2.74
Te (0.0000, 0.0000, 0.2348)  3 Pa 3.22, 3 Ho 3.23
Te (0.3333, 0.6667, 0.9014)  3 Pa 3.22, 3 Ho 3.23
Te (0.6667, 0.3333, 0.5681)  3 Pa 3.22, 3 Ho 3.23
Ir (0.0000, 0.0000, 0.4068)  3 Pa 2.74, 3 Ho 2.87
Ir (0.3333, 0.6667, 0.0735)  3 Pa 2.74, 3 Ho 2.87
Ir (0.6667, 0.3333, 0.7402)  3 Pa 2.74, 3 Ho 2.87

Calculated values
**Raw formation energy**: -0.947 eV per atom
**M_tot**: 0.00 μB per formula unit
**Calculated total energy**: -7.47 eV per atom

---

(8)
A plane-wave DFT calculation with GGA-PBE was carried out for a relaxed structure of Ho2V2GaRu5.

Cell lengths 10.2093, 10.2093, 3.1927 Å; angles 90.00, 90.00, 90.00 degrees
Last column: nearest neighbours and their distance in Å.
Element x y z (fractional)
Ho (0.1729, 0.3271, 0.0000)  3 V 2.86-3.12, 10 Ru 2.96-3.18, 2 Ho 3.19
Ho (0.3271, 0.8271, 0.0000)  3 V 2.86-3.12, 10 Ru 2.96-3.18, 2 Ho 3.19
Ho (0.6729, 0.1729, 0.0000)  3 V 2.86-3.12, 10 Ru 2.96-3.18, 2 Ho 3.19
Ho (0.8271, 0.6729, 0.0000)  3 V 2.86-3.12, 10 Ru 2.96-3.18, 2 Ho 3.19
V (0.1293, 0.6293, 0.0000)  6 Ru 2.44-2.46
V (0.3707, 0.1293, 0.0000)  6 Ru 2.44-2.46
V (0.6293, 0.8707, 0.0000)  6 Ru 2.44-2.46
V (0.8707, 0.3707, 0.0000)  6 Ru 2.44-2.46
Ga (0.0000, 0.0000, 0.0000)  8 Ru 2.69
Ga (0.5000, 0.5000, 0.0000)  8 Ru 2.69
Ru (0.0000, 0.5000, 0.5000)  4 V 2.46
Ru (0.0649, 0.7982, 0.5000)  2 V 2.44, 2 Ga 2.69
Ru (0.2018, 0.0649, 0.5000)  2 V 2.44, 2 Ga 2.69
Ru (0.2982, 0.5649, 0.5000)  2 V 2.44, 2 Ga 2.69
Ru (0.4351, 0.2982, 0.5000)  2 V 2.44, 2 Ga 2.69
Ru (0.5000, 0.0000, 0.5000)  4 V 2.46
Ru (0.5649, 0.7018, 0.5000)  2 V 2.44, 2 Ga 2.69
Ru (0.7018, 0.4351, 0.5000)  2 V 2.44, 2 Ga 2.69
Ru (0.7982, 0.9351, 0.5000)  2 V 2.44, 2 Ga 2.69
Ru (0.9351, 0.2018, 0.5000)  2 V 2.44, 2 Ga 2.69

Calculated values
**M_tot**: 0.00 μB per formula unit
**Calculated total energy**: -7.93 eV per atom

---

Question: Which of these has the highest M_tot?
Answer: PdRuPt3

---

Question: Look up the calculated total energy of the sixth one.
Answer: -7.03 eV per atom

---

Question: Which of these has the highest calculated total energy?
Answer: Cs2RbMg